[1]
Computed, not measured: a relaxed structure of CrGeS2 at the PBE-GGA level of DFT.

Lattice parameters (Å, degrees): 7.665 7.665 7.665 27.81 27.81 27.81
Each line ends with the local moment (μB).
Fractional positions:
Cr1 0.000 0.000 0.000  3.62
Ge1 0.500 0.500 0.500  -0.04
S1 0.898 0.898 0.898  -0.10
S2 0.102 0.102 0.102  -0.10

Calculated values
M_tot: 3.9 μB per formula unit
E: -5.546 eV/atom
formation energy without anion corrections: 0.31 eV per formula unit
SG: R-3m (166)



[2]
Computed, not measured: a relaxed structure of CaBi3O at the PBE-GGA level of DFT.

Lattice parameters (Å, degrees): 5.039 5.039 5.039 90.00 90.00 90.00
Fractional positions:
Ca1 0.500 0.500 0.500
Bi1 0.000 0.500 0.000
Bi2 0.000 0.000 0.500
Bi3 0.500 0.000 0.000
O1 0.000 0.000 0.000

Calculated values
M_tot: 0.0 μB per formula unit
E: -4.233 eV/atom
formation energy without anion corrections: -2.56 eV per formula unit
energy relative to the lowest polymorph listed for this composition: 0.0 kJ per mole of atoms
SG: Pm-3m (221)



Short version: volume = 87, 128 Å³/cell, in the order given.